[1]
The following is a DFT calculation (GGA-PBE) of Li2IrOsO6 after structural relaxation.

Cell and atoms, written as POSCAR:
```
Li2IrOsO6
1.0
3.813 0.000 0.000
0.000 5.580 0.000
0.000 0.000 5.580
O Ir Li Os
6 1 2 1
Cartesian
2.788 1.377 4.203 O
2.788 1.377 1.377 O
0.758 0.000 0.000 O
2.788 4.203 4.203 O
2.788 4.203 1.377 O
0.743 2.790 2.790 O
2.620 2.790 2.790 Ir
3.350 2.790 0.000 Li
3.350 0.000 2.790 Li
2.606 0.000 0.000 Os
```

## Properties
Fermi-level density of states   6.64 states/eV per cell
Uncorrected formation energy   -1.03 eV per atom
Crystal system   tetragonal
Volume   11.9 Å³/atom
E   -63.9 eV/cell

[2]
The following is a DFT calculation (GGA-PBE) of Ho2Ga6CoCu after structural relaxation.

Cell and atoms, written as POSCAR:
```
Ho2Ga6CoCu
1.0
6.486 0.000 0.000
0.000 6.486 0.000
3.243 3.243 4.587
Ga Ho Co Cu
6 2 1 1
Cartesian
1.611 4.875 0.000 Ga
1.611 1.611 0.000 Ga
3.243 3.243 2.309 Ga
6.487 6.486 2.278 Ga
4.876 4.875 0.000 Ga
4.876 1.611 0.000 Ga
3.244 6.486 2.293 Ho
6.487 3.243 2.293 Ho
0.000 0.000 0.000 Co
3.243 3.243 0.000 Cu
```

## Properties
ΔE_f   -1.9 eV per formula unit
Fermi-level density of states   5.36 states/eV per cell
Crystal system   cubic
Volume   19.3 Å³/atom
E   -40.5 eV/cell

[3]
The following is a DFT calculation (GGA-PBE) of ErCd11Hg after structural relaxation.

Cell and atoms, written as POSCAR:
```
ErCd11Hg
1.0
-3.525 4.714 1.343
-4.295 -1.182 6.191
3.321 5.010 4.705
Cd Hg Er
11 1 1
Cartesian
-1.866 4.122 7.552 Cd
-0.044 6.036 5.683 Cd
-5.146 5.687 7.020 Cd
-0.102 4.862 3.024 Cd
-2.148 -0.591 3.096 Cd
-3.295 6.388 9.548 Cd
1.660 2.505 2.353 Cd
0.646 2.854 5.219 Cd
-2.633 4.420 4.687 Cd
-1.205 2.154 2.691 Cd
-4.456 2.505 6.557 Cd
-3.910 1.766 3.767 Hg
0.000 0.000 0.000 Er
```

## Properties
ΔE_f   -0.5 eV per formula unit
Fermi-level density of states   2.35 states/eV per cell
Crystal system   monoclinic
Volume   22.9 Å³/atom
E   -15.5 eV/cell

[4]
The following is a DFT calculation (GGA-PBE) of ZrFeH2 after structural relaxation.

Cell and atoms, written as POSCAR:
```
ZrFeH2
1.0
0.000 2.643 2.643
2.643 0.000 2.643
2.643 2.643 0.000
Fe H Zr
1 2 1
Cartesian
0.000 0.000 0.000 Fe
3.964 3.964 3.964 H
1.321 1.321 1.321 H
2.643 2.643 2.643 Zr
```

## Properties
Fermi-level density of states   3.79 states/eV per cell
Excess energy over the best structure of this formula in the dataset   1.324 eV/f.u.
Crystal system   cubic
Volume   9.2 Å³/atom
E   -23.0 eV/cell

[5]
The following is a DFT calculation (GGA-PBE) of Ac4ScGe5 after structural relaxation.

Cell and atoms, written as POSCAR:
```
Ac4ScGe5
1.0
-2.458 5.456 2.057
-6.714 1.883 -3.286
-4.675 -0.732 6.086
Ge Ac Sc
5 4 1
Cartesian
-1.167 2.589 0.976 Ge
-4.646 4.092 3.140 Ge
-9.222 2.561 1.734 Ge
-5.348 1.616 -0.862 Ge
-8.520 5.037 5.736 Ge
-3.757 1.225 2.093 Ac
-6.550 4.231 0.516 Ac
-7.323 2.433 4.362 Ac
-10.116 5.439 2.785 Ac
-2.454 5.446 2.054 Sc
```

## Properties
ΔE_f   -4.9 eV per formula unit
Fermi-level density of states   12.32 states/eV per cell
Crystal system   tetragonal
Volume   31.3 Å³/atom
E   -50.7 eV/cell

[6]
The following is a DFT calculation (GGA-PBE) of Pm6Ge2P3Br after structural relaxation.

Cell and atoms, written as POSCAR:
```
Pm6Ge2P3Br
1.0
-0.364 -3.123 -2.673
6.507 3.136 -4.550
4.248 -4.051 7.340
Pm Br P Ge
6 1 3 2
Cartesian
1.750 -3.250 0.373 Pm
5.387 -2.468 2.151 Pm
5.003 -1.569 -2.033 Pm
8.641 -0.788 -0.256 Pm
4.739 2.272 -3.300 Pm
5.652 -6.310 3.418 Pm
-0.182 -1.561 -1.336 Br
6.762 0.783 -1.835 P
3.629 -4.821 1.953 P
3.072 0.007 -3.611 P
3.492 -0.818 0.480 Ge
6.899 -3.220 -0.362 Ge
```

## Properties
Fermi-level density of states   3.13 states/eV per cell
Uncorrected formation energy   -1.31 eV per atom
Crystal system   monoclinic
Volume   26.2 Å³/atom
E   -71.3 eV/cell

[7]
The following is a DFT calculation (GGA-PBE) of Cs2In3Ge2 after structural relaxation.

Cell and atoms, written as POSCAR:
```
Cs2In3Ge2
1.0
-1.581 4.073 0.625
-6.382 -4.277 -2.200
-3.983 -0.115 6.678
Ge In Cs
2 3 2
Cartesian
-2.650 1.374 0.447 Ge
-9.297 -1.693 4.657 Ge
0.000 0.000 0.000 In
-5.341 0.457 0.139 In
-6.606 -0.776 4.964 In
-7.085 -2.791 1.650 Cs
-4.862 2.472 3.454 Cs
```

## Properties
ΔE_f   -0.3 eV per formula unit
Fermi-level density of states   3.03 states/eV per cell
Crystal system   triclinic
Volume   35.0 Å³/atom
E   -19.4 eV/cell

[8]
The following is a DFT calculation (GGA-PBE) of KCa3S after structural relaxation.

Cell and atoms, written as POSCAR:
```
KCa3S
1.0
5.764 0.000 0.000
0.000 5.764 0.000
0.000 0.000 5.764
Ca K S
3 1 1
Cartesian
2.882 0.000 0.000 Ca
0.000 2.882 0.000 Ca
0.000 0.000 2.882 Ca
2.882 2.882 2.882 K
0.000 0.000 0.000 S
```

## Properties
Fermi-level density of states   5.98 states/eV per cell
Excess energy over the best structure of this formula in the dataset   0.000 eV/f.u.
Uncorrected formation energy   -0.58 eV per atom
Crystal system   cubic
Volume   38.3 Å³/atom
E   -14.2 eV/cell

[9]
The following is a DFT calculation (GGA-PBE) of AcBeH2F8 after structural relaxation.

Cell and atoms, written as POSCAR:
```
AcBeH2F8
1.0
4.274 1.029 0.034
1.105 4.455 0.034
0.057 0.064 7.486
F Ac H Be
8 1 2 1
Cartesian
1.887 3.566 6.161 F
1.809 3.469 1.397 F
1.307 1.046 0.034 F
4.128 4.502 7.520 F
3.549 1.982 1.393 F
3.627 2.079 6.156 F
3.619 3.739 3.734 F
1.817 1.809 3.819 F
0.028 0.032 3.743 Ac
2.673 2.732 1.345 H
2.762 2.816 6.208 H
0.000 0.000 0.000 Be
```

## Properties
Crystal system   triclinic
Volume   11.2 Å³/atom
E   -60.9 eV/cell

[10]
The following is a DFT calculation (GGA-PBE) of Pa3Fe2As3 after structural relaxation.

Cell and atoms, written as POSCAR:
```
Pa3Fe2As3
1.0
-3.306 2.262 0.264
0.570 -3.254 4.492
7.569 10.303 6.503
As Fe Pa
6 4 6
Cartesian
3.340 4.072 6.938 As
1.492 5.239 4.321 As
3.721 8.265 6.302 As
1.112 1.046 4.957 As
-1.594 1.038 1.669 As
6.426 8.273 9.589 As
2.460 3.054 4.636 Fe
2.373 6.257 6.622 Fe
4.492 9.142 8.443 Fe
0.341 0.169 2.815 Fe
-1.762 0.437 4.713 Pa
6.595 8.874 6.545 Pa
0.417 3.403 6.585 Pa
-0.079 3.083 3.117 Pa
4.415 5.908 4.673 Pa
4.912 6.228 8.142 Pa
```

## Properties
ΔE_f   -5.7 eV per formula unit
Fermi-level density of states   13.76 states/eV per cell
Crystal system   orthorhombic
Volume   18.7 Å³/atom
E   -130.1 eV/cell

[11]
The following is a DFT calculation (GGA-PBE) of K2ReBr after structural relaxation.

Cell and atoms, written as POSCAR:
```
K2ReBr
1.0
-5.331 0.587 3.858
-6.564 0.495 0.563
-1.508 -5.654 0.722
Re K Br
1 2 1
Cartesian
-6.884 -1.144 2.608 Re
-3.776 -2.086 1.471 K
-12.975 -3.653 4.957 K
-9.873 -4.548 3.821 Br
```

## Properties
Fermi-level density of states   3.01 states/eV per cell
Excess energy over the best structure of this formula in the dataset   3.636 eV/f.u.
Uncorrected formation energy   0.73 eV per atom
Crystal system   monoclinic
Volume   32.4 Å³/atom
E   -13.4 eV/cell

[12]
The following is a DFT calculation (GGA-PBE) of Sc2TaTe after structural relaxation.

Cell and atoms, written as POSCAR:
```
Sc2TaTe
1.0
5.522 -0.003 -0.033
2.174 5.076 0.033
-3.533 -3.014 2.987
Sc Ta Te
2 1 1
Cartesian
3.876 2.555 0.000 Sc
7.668 5.054 0.000 Sc
2.918 -0.241 1.477 Ta
1.245 2.299 1.510 Te
```

## Properties
Fermi-level density of states   6.16 states/eV per cell
Excess energy over the best structure of this formula in the dataset   0.949 eV/f.u.
Uncorrected formation energy   -0.09 eV per atom
Crystal system   orthorhombic
Volume   21.0 Å³/atom
E   -28.0 eV/cell

[13]
The following is a DFT calculation (GGA-PBE) of CaFe3Tc after structural relaxation.

Cell and atoms, written as POSCAR:
```
CaFe3Tc
1.0
4.581 0.000 0.000
0.000 4.581 0.000
0.000 0.000 4.581
Fe Ca Tc
3 1 1
Cartesian
0.000 2.290 0.000 Fe
0.000 0.000 2.290 Fe
2.290 0.000 0.000 Fe
2.290 2.290 2.290 Ca
0.000 0.000 0.000 Tc
```

## Properties
ΔE_f   4.6 eV per formula unit
Fermi-level density of states   6.59 states/eV per cell
Excess energy over the best structure of this formula in the dataset   0.000 eV/f.u.
Crystal system   cubic
Volume   19.2 Å³/atom
E   -33.2 eV/cell

[14]
The following is a DFT calculation (GGA-PBE) of Ni2Pt2Pb after structural relaxation.

Cell and atoms, written as POSCAR:
```
Ni2Pt2Pb
1.0
6.812 0.000 0.000
0.000 6.812 0.000
0.000 0.000 3.426
Ni Pt Pb
4 4 2
Cartesian
5.891 4.326 0.000 Ni
4.326 0.920 0.000 Ni
2.485 5.891 0.000 Ni
0.920 2.485 0.000 Ni
2.374 1.032 1.713 Pt
4.437 5.780 1.713 Pt
5.780 2.374 1.713 Pt
1.032 4.437 1.713 Pt
3.406 3.406 0.000 Pb
0.000 0.000 0.000 Pb
```

## Properties
ΔE_f   0.5 eV per formula unit
Fermi-level density of states   14.91 states/eV per cell
Excess energy over the best structure of this formula in the dataset   0.030 eV/f.u.
Crystal system   tetragonal
Volume   15.9 Å³/atom
E   -53.7 eV/cell

[15]
The following is a DFT calculation (GGA-PBE) of SrHg2IrO after structural relaxation.

Cell and atoms, written as POSCAR:
```
SrHg2IrO
1.0
-4.921 3.363 3.356
-3.650 -1.394 -3.955
-1.551 -5.704 3.442
Hg Ir Sr O
2 1 1 1
Cartesian
-0.776 -2.852 1.721 Hg
-2.460 1.682 1.678 Hg
-1.825 -0.697 -1.978 Ir
0.000 0.000 0.000 Sr
-5.061 -1.867 1.421 O
```

## Properties
Fermi-level density of states   24.30 states/eV per cell
Uncorrected formation energy   1.29 eV per atom
Crystal system   tetragonal
Volume   52.0 Å³/atom
E   -9.7 eV/cell

[16]
The following is a DFT calculation (GGA-PBE) of La3Rh2Pb3 after structural relaxation.

Cell and atoms, written as POSCAR:
```
La3Rh2Pb3
1.0
4.602 0.000 -1.335
-0.272 5.224 -0.939
0.143 0.124 9.091
Rh La Pb
2 3 3
Cartesian
1.025 0.703 3.532 Rh
3.448 4.645 3.285 Rh
3.794 2.202 4.479 La
0.679 3.146 2.339 La
0.000 0.000 0.000 La
2.940 0.376 1.535 Pb
2.165 2.612 -1.137 Pb
1.533 4.972 5.282 Pb
```

## Properties
ΔE_f   -5.3 eV per formula unit
Fermi-level density of states   3.42 states/eV per cell
Crystal system   monoclinic
Volume   27.5 Å³/atom
E   -45.9 eV/cell

[17]
The following is a DFT calculation (GGA-PBE) of Dy2AgHg6 after structural relaxation.

Cell and atoms, written as POSCAR:
```
Dy2AgHg6
1.0
-4.182 0.777 2.249
-1.554 -9.219 0.295
4.358 -0.469 8.266
Ag Hg Dy
2 12 4
Cartesian
2.179 -0.234 4.133 Ag
-2.868 -4.221 1.272 Ag
-1.454 -4.624 4.040 Hg
0.077 -4.287 6.770 Hg
1.891 -1.599 9.215 Hg
1.262 -6.389 4.553 Hg
0.486 -1.224 6.472 Hg
-1.863 -7.687 4.338 Hg
2.122 -9.365 7.180 Hg
-3.499 0.454 3.630 Hg
-4.119 -2.587 3.528 Hg
-2.639 -2.522 6.257 Hg
-3.269 -7.312 1.595 Hg
2.742 -6.324 7.282 Hg
-0.338 -7.399 7.074 Dy
-0.241 -6.454 1.780 Dy
-1.039 -1.512 3.736 Dy
-1.136 -2.457 9.030 Dy
```

## Properties
ΔE_f   -2.4 eV per formula unit
Fermi-level density of states   6.67 states/eV per cell
Excess energy over the best structure of this formula in the dataset   0.000 eV/f.u.
Crystal system   tetragonal
Volume   23.4 Å³/atom
E   -32.5 eV/cell

[18]
The following is a DFT calculation (GGA-PBE) of LaSc3Hg4 after structural relaxation.

Cell and atoms, written as POSCAR:
```
LaSc3Hg4
1.0
5.068 0.000 0.000
0.000 7.462 0.000
0.000 0.000 10.136
Hg Sc La
8 6 2
Cartesian
2.534 1.678 5.068 Hg
5.064 5.785 7.602 Hg
2.534 5.785 5.068 Hg
2.534 1.678 0.000 Hg
5.064 1.678 7.602 Hg
0.004 5.785 2.534 Hg
0.004 1.678 2.534 Hg
2.534 5.785 0.000 Hg
2.530 0.000 7.602 Sc
2.538 0.000 2.534 Sc
2.535 3.731 2.534 Sc
2.533 3.731 7.602 Sc
0.000 0.000 5.068 Sc
0.000 0.000 0.000 Sc
0.000 3.731 0.000 La
0.000 3.731 5.068 La
```

## Properties
ΔE_f   -3.2 eV per formula unit
Fermi-level density of states   14.41 states/eV per cell
Crystal system   tetragonal
Volume   24.0 Å³/atom
E   -56.8 eV/cell

[19]
The following is a DFT calculation (GGA-PBE) of Dy4Ho2In after structural relaxation.

Cell and atoms, written as POSCAR:
```
Dy4Ho2In
1.0
4.667 0.000 0.000
2.333 4.041 0.000
2.333 1.347 12.893
Dy In Ho
4 1 2
Cartesian
2.333 1.347 1.405 Dy
2.333 1.347 9.431 Dy
7.000 4.041 11.488 Dy
7.000 4.041 3.462 Dy
0.000 0.000 0.000 In
7.000 4.041 7.438 Ho
2.333 1.347 5.455 Ho
```

## Properties
ΔE_f   2.8 eV per formula unit
Fermi-level density of states   12.40 states/eV per cell
Excess energy over the best structure of this formula in the dataset   3.089 eV/f.u.
Crystal system   trigonal
Volume   34.7 Å³/atom
E   -27.5 eV/cell

[20]
The following is a DFT calculation (GGA-PBE) of Dy5Tm4In after structural relaxation.

Cell and atoms, written as POSCAR:
```
Dy5Tm4In
1.0
-0.335 -0.420 3.479
-1.868 -2.936 -0.534
20.414 -13.055 0.390
Dy Tm In
5 4 1
Cartesian
13.298 -10.886 1.748 Dy
17.504 -13.577 1.828 Dy
9.106 -8.206 1.667 Dy
4.914 -5.525 1.587 Dy
0.707 -2.835 1.507 Dy
3.919 -2.506 0.075 Tm
16.495 -10.549 0.315 Tm
12.304 -7.869 0.235 Tm
8.110 -5.187 0.155 Tm
0.000 0.000 0.000 In
```

## Properties
ΔE_f   -0.7 eV per formula unit
Fermi-level density of states   13.11 states/eV per cell
Excess energy over the best structure of this formula in the dataset   0.000 eV/f.u.
Crystal system   tetragonal
Volume   30.0 Å³/atom
E   -44.4 eV/cell